# 1
Computed, not measured: crystalline UNbAl at its relaxed geometry at the GGA-PBE level of DFT.

Cell lengths 4.9310, 4.9310, 2.7644 Å; angles 90.00, 90.00, 120.00 degrees
Closest atoms and distances in Å follow each position.
Space group P-6m2 (No. 187)
One atom of each set of equivalent atoms:
U 0.0000 0.0000 0.0000  2 U 2.76
Nb 0.6667 0.3333 0.5000  2 Nb 2.76, 3 Al 2.85
Al 0.3333 0.6667 0.5000  2 Al 2.76, 3 Nb 2.85

Computed properties:
VASP energy   -8.258 eV/atom
Distance to the lowest polymorph of the same formula   0.397 eV/f.u.
DOS at the Fermi energy   1.39 states/eV/atom
Crystal system   hexagonal
Formation energy from the elements   0.109 eV per atom


# 2
Computed, not measured: crystalline UNbAl at its relaxed geometry at the GGA-PBE level of DFT.

Cell lengths 2.7798, 2.7798, 14.4028 Å; angles 90.00, 90.00, 90.00 degrees
Closest atoms and distances in Å follow each position.
Space group I4mm (No. 107)
One atom of each set of equivalent atoms:
U 0.0000 0.0000 0.0000  4 U 2.78
Nb 0.0000 0.0000 0.3170  4 Nb 2.78, 4 Al 2.90
Al 0.0000 0.0000 0.6691  4 Al 2.78, 4 Nb 2.90

Computed properties:
VASP energy   -8.390 eV/atom
Distance to the lowest polymorph of the same formula   0.000 eV/f.u.
DOS at the Fermi energy   1.55 states/eV/atom
Crystal system   tetragonal
Formation energy from the elements   -0.024 eV per atom


# 3
Computed, not measured: crystalline UNb2Al at its relaxed geometry at the GGA-PBE level of DFT.

Cell lengths 4.5391, 4.5391, 3.5972 Å; angles 90.00, 90.00, 90.00 degrees
Closest atoms and distances in Å follow each position.
Space group P4/mmm (No. 123)
One atom of each set of equivalent atoms:
U 0.0000 0.0000 0.0000  8 Nb 2.90, 4 Al 3.21
Nb 0.0000 0.5000 0.5000  4 U 2.90, 4 Al 2.90, 4 Nb 3.21
Al 0.5000 0.5000 0.0000  8 Nb 2.90, 4 U 3.21

Computed properties:
VASP energy   -8.836 eV/atom
Distance to the lowest polymorph of the same formula   0.000 eV/f.u.
DOS at the Fermi energy   1.66 states/eV/atom
Crystal system   tetragonal
Formation energy from the elements   -0.043 eV per atom


# 4
Computed, not measured: crystalline UNbAl4 at its relaxed geometry at the GGA-PBE level of DFT.

Cell lengths 7.5633, 7.5633, 7.5633 Å; angles 90.00, 90.00, 90.00 degrees
Closest atoms and distances in Å follow each position.
Space group F-43m (No. 216)
One atom of each set of equivalent atoms:
U 0.0000 0.0000 0.0000  12 Al 3.14, 4 Nb 3.27
Nb 0.2500 0.2500 0.2500  12 Al 3.14, 4 U 3.27
Al 0.1249 0.1249 0.6249  6 Al 2.67-2.68

Computed properties:
VASP energy   -6.160 eV/atom
DOS at the Fermi energy   1.57 states/eV/atom
Crystal system   cubic
Formation energy from the elements   -0.106 eV per atom


# 5
Computed, not measured: crystalline UNbAl at its relaxed geometry at the GGA-PBE level of DFT.

Cell lengths 3.7663, 3.7663, 7.9822 Å; angles 90.00, 90.00, 90.00 degrees
Closest atoms and distances in Å follow each position.
Space group P4/nmm (No. 129, origin choice 2)
One atom of each set of equivalent atoms:
U 0.2500 0.7500 0.0000  4 U 2.66
Nb 0.2500 0.2500 0.3663  5 Al 2.71-2.72
Al 0.2500 0.2500 0.7058  5 Nb 2.71-2.72, 4 U 3.01

Computed properties:
VASP energy   -8.328 eV/atom
Distance to the lowest polymorph of the same formula   0.187 eV/f.u.
DOS at the Fermi energy   1.24 states/eV/atom
Crystal system   tetragonal
Formation energy from the elements   0.039 eV per atom


# 6
Computed, not measured: crystalline U2NbAl6 at its relaxed geometry at the GGA-PBE level of DFT.

Cell lengths 8.1651, 8.1651, 2.8358 Å; angles 90.00, 90.00, 120.00 degrees
Closest atoms and distances in Å follow each position.
Space group P6/mmm (No. 191)
One atom of each set of equivalent atoms:
U 0.3333 0.6667 0.0000  2 U 2.84, 12 Al 3.11
Nb 0.0000 0.0000 0.0000  2 Nb 2.84, 12 Al 2.98
Al 0.0000 0.3210 0.5000  5 Al 2.62-2.92

Computed properties:
VASP energy   -6.257 eV/atom
DOS at the Fermi energy   1.26 states/eV/atom
Crystal system   hexagonal
Formation energy from the elements   -0.134 eV per atom


# 7
Computed, not measured: crystalline NbAl2V at its relaxed geometry at the GGA-PBE level of DFT.

Cell lengths 7.0433, 7.0433, 5.3955 Å; angles 90.00, 90.00, 90.00 degrees
Closest atoms and distances in Å follow each position.
Space group I-42d (No. 122)
One atom of each set of equivalent atoms:
Nb 0.0000 0.0000 0.0000  4 Al 2.65, 2 V 2.70
Al 0.2358 0.2500 0.6250  2 V 2.51, 2 Nb 2.65, 2 Al 2.71
V 0.0000 0.0000 0.5000  4 Al 2.51, 2 Nb 2.70

Computed properties:
VASP energy   -6.469 eV/atom
Distance to the lowest polymorph of the same formula   1.862 eV/f.u.
DOS at the Fermi energy   0.56 states/eV/atom
Crystal system   tetragonal
Formation energy from the elements   0.199 eV per atom


# 8
Computed, not measured: crystalline NbAl2V at its relaxed geometry at the GGA-PBE level of DFT.

Cell lengths 5.4866, 5.4995, 8.2834 Å; angles 90.00, 90.00, 90.00 degrees
Closest atoms and distances in Å follow each position.
Space group Fmmm (No. 69)
One atom of each set of equivalent atoms:
Nb 0.0000 0.0000 0.0000  4 V 2.74-2.75, 8 Al 2.84
Al 0.2500 0.2500 0.2500  4 Al 2.74-2.75, 4 Nb 2.84, 4 V 2.84
V 0.0000 0.0000 0.5000  4 Nb 2.74-2.75, 8 Al 2.84

Computed properties:
VASP energy   -6.927 eV/atom
Distance to the lowest polymorph of the same formula   0.034 eV/f.u.
DOS at the Fermi energy   0.60 states/eV/atom
Crystal system   orthorhombic
Formation energy from the elements   -0.258 eV per atom